(1)
Compound: HfMnNi6
Source: the Alexandria database
Functional: GGA-PBE
Structure: relaxed

- mass density (g/cm3) = 9.986
- DFT formation energy (meV/atom) = -288.4
- space-group type = Cmmm

```
HfMnNi6
1.0
-1.9952 5.5733 2.2291
-4.2450 -2.3216 -4.0745
-4.8185 -4.8347 7.7750
Ni Mn Hf
24 4 4
direct
0.8837 0.6297 0.3788
0.5000 0.5000 0.5000
0.0000 0.0000 0.5000
0.8795 0.6334 0.1292
0.3666 0.1205 0.1292
0.8795 0.6334 0.8708
0.6334 0.8795 0.8708
0.3666 0.1205 0.8708
0.6334 0.8795 0.1292
0.2472 0.7528 0.7440
0.5000 0.5000 0.0000
0.3703 0.1163 0.6212
0.1205 0.3666 0.8708
0.0000 0.0000 0.0000
0.7528 0.2472 0.7440
0.3703 0.1163 0.3788
0.1205 0.3666 0.1292
0.1163 0.3703 0.3788
0.6297 0.8837 0.3788
0.2472 0.7528 0.2560
0.8837 0.6297 0.6212
0.1163 0.3703 0.6212
0.6297 0.8837 0.6212
0.7528 0.2472 0.2560
0.0000 0.0000 0.7449
0.7438 0.2562 0.5000
0.2562 0.7438 0.5000
0.0000 0.0000 0.2551
0.2535 0.7465 0.0000
0.7465 0.2535 0.0000
0.5000 0.5000 0.2535
0.5000 0.5000 0.7465
```



(2)
Compound: HfMn3Ni
Source: the Alexandria database
Functional: GGA-PBE
Structure: relaxed

- mass density (g/cm3) = 7.941
- DFT formation energy (meV/atom) = 669.8
- ΔE to the lowest computed polymorph (meV/atom) = 0.0
- space-group type = Pm-3m

```
HfMn3Ni
1.0
4.3807 0.0000 0.0000
0.0000 4.3807 0.0000
0.0000 0.0000 4.3807
Ni Mn Hf
1 3 1
direct
0.0000 0.0000 0.0000
0.0000 0.0000 0.5000
0.0000 0.5000 0.0000
0.5000 0.0000 0.0000
0.5000 0.5000 0.5000
```



(3)
Compound: Hf5Mn4Ni
Source: the Alexandria database
Functional: GGA-PBE
Structure: relaxed

- mass density (g/cm3) = 12.252
- DFT formation energy (meV/atom) = -215.9
- space-group type = P4/mmm

```
Hf5Mn4Ni
1.0
-2.3177 1.8196 1.1734
-2.1513 -2.1294 -0.9471
1.2157 -7.4016 13.8792
Mn Hf Ni
4 5 1
direct
0.0000 0.0000 0.1962
0.0000 0.0000 0.4004
0.0000 0.0000 0.5996
0.0000 0.0000 0.8038
0.5000 0.5000 0.7016
0.5000 0.5000 0.1029
0.5000 0.5000 0.8971
0.5000 0.5000 0.5000
0.5000 0.5000 0.2984
0.0000 0.0000 0.0000
```



(4)
Compound: HfMnNi5
Source: the Alexandria database
Functional: GGA-PBE
Structure: relaxed

- mass density (g/cm3) = 9.454
- DFT formation energy (meV/atom) = -78.4
- space-group type = P4/mmm

```
HfMnNi5
1.0
3.7579 0.0000 0.0000
0.0000 3.7580 0.0000
0.0000 0.0000 6.5535
Ni Hf Mn
5 1 1
direct
0.5000 0.5000 0.5000
0.5000 0.0000 0.7809
0.0000 0.5000 0.2191
0.0000 0.5000 0.7809
0.5000 0.0000 0.2191
0.0000 0.0000 0.5000
0.5000 0.5000 0.0000
```



(5)
Compound: Hf3MnNi12
Source: the Alexandria database
Functional: GGA-PBE
Structure: relaxed

- mass density (g/cm3) = 10.693
- DFT formation energy (meV/atom) = -408.2
- space-group type = P4/mmm

```
Hf3MnNi12
1.0
3.6941 0.0000 0.0000
0.0000 3.6941 0.0000
0.0000 0.0000 14.7341
Ni Hf Mn
12 3 1
direct
0.0000 0.5000 0.6273
0.0000 0.5000 0.8825
0.5000 0.5000 0.2463
0.0000 0.5000 0.1175
0.5000 0.0000 0.6273
0.5000 0.5000 0.7537
0.5000 0.5000 0.0000
0.5000 0.0000 0.3727
0.5000 0.5000 0.5000
0.5000 0.0000 0.1175
0.5000 0.0000 0.8825
0.0000 0.5000 0.3727
0.0000 0.0000 0.5000
0.0000 0.0000 0.2428
0.0000 0.0000 0.7572
0.0000 0.0000 0.0000
```



(6)
Compound: HfMnNi3
Source: the Alexandria database
Functional: GGA-PBE
Structure: relaxed

- mass density (g/cm3) = 8.766
- DFT formation energy (meV/atom) = 609.3
- ΔE to the lowest computed polymorph (meV/atom) = 0.0
- space-group type = Pm-3m

```
HfMnNi3
1.0
4.2649 0.0000 0.0000
0.0000 4.2649 0.0000
0.0000 0.0000 4.2649
Hf Ni Mn
1 3 1
direct
0.5000 0.5000 0.5000
0.0000 0.5000 0.0000
0.0000 0.0000 0.5000
0.5000 0.0000 0.0000
0.0000 0.0000 0.0000
```



(7)
Compound: HfMn4Ni
Source: the Alexandria database
Functional: GGA-PBE
Structure: relaxed

- mass density (g/cm3) = 10.016
- DFT formation energy (meV/atom) = -10.6
- space-group type = F-43m

```
HfMn4Ni
1.0
-0.1326 -2.6087 -3.9666
0.2695 -4.7346 0.2614
-3.8178 -2.6531 -0.9708
Ni Mn Hf
1 4 1
direct
0.0000 0.0000 0.0000
0.1176 0.6275 0.6275
0.6275 0.1176 0.6275
0.6275 0.6275 0.1176
0.6275 0.6275 0.6275
0.2500 0.2500 0.2500
```



no.,total magnetization (μB/f.u.)
1,4.5
2,9.3
3,1.8
4,3.6
5,4.6
6,3.6
7,0.0